DFT (PBE+U) results for an optimized crystal structure of KSmNi4O12.

Raw total energy = -4.704 eV/atom
Symmetry = Amm2
Calculated density = 4.53 Mg/m³
Calculated volume = 226.0 Å³/f.u.

Cell: 5.427 5.427 7.674 Å, 90.00 90.00 90.08°
Positions (direct):
O 0.732 0.733 0.271
O 0.267 0.268 0.729
O 0.267 0.268 0.271
O 0.269 0.731 0.722
O 0.005 0.505 0.000
O 0.982 0.495 0.500
O 0.733 0.267 0.264
O 0.495 0.995 0.000
O 0.505 0.018 0.500
O 0.733 0.267 0.736
O 0.269 0.731 0.278
O 0.732 0.733 0.729
Ni 0.499 0.999 0.247
Ni 0.499 0.999 0.753
Ni 0.001 0.501 0.247
Ni 0.001 0.501 0.753
K 0.998 0.002 0.000
Sm 0.507 0.493 0.500